First-principles (GGA+U) data for a geometry-optimized ZnWF3 structure, as listed in Alexandria.

Results
**Symmetry**: No. 221
**Polymorph energy (0 for the lowest one)**: 0 meV/atom
**Crystal system**: cubic
**Calculated total energy**: -4.54 eV per atom
**V**: 80.7 Å³/f.u.

a = 4.3216 Å, b = 4.3216 Å, c = 4.3216 Å
α = 90.00°, β = 90.00°, γ = 90.00°
Last column: magnetic moment on the atom in μB.
Atoms (fractional coordinates):
F  0.0000  0.5000  0.0000  0.03
W  0.0000  0.0000  0.0000  2.83
F  0.0000  0.0000  0.5000  0.01
F  0.5000  0.0000  0.0000  0.07
Zn  0.5000  0.5000  0.5000  -0.01